# K3Sr (meta-GGA SCAN, PBEsol geometry)
# formation energy	90	meV/atom
# M_tot	0.03	μB per formula unit
# density	1.3	g cm⁻³
data_K3Sr
_chemical_formula_sum 'K3 Sr1'
_cell_length_a 4.417
_cell_length_b 6.518
_cell_length_c 8.967
_cell_angle_alpha 90.00
_cell_angle_beta 90.00
_cell_angle_gamma 90.00
_symmetry_space_group_name_H-M 'P m m m'
_symmetry_Int_Tables_number 47
loop_
_symmetry_equiv_pos_as_xyz
'x,y,z'
'-x,-y,-z'
'-x,-y,z'
'x,y,-z'
'x,-y,-z'
'-x,y,z'
'-x,y,-z'
'x,-y,z'
loop_
_atom_site_label
_atom_site_type_symbol
_atom_site_fract_x
_atom_site_fract_y
_atom_site_fract_z
K1 K 0.000 0.000 0.000
K2 K 0.500 0.500 0.257
Sr1 Sr 0.000 0.000 0.500

---

# Co4Ir (meta-GGA SCAN, PBEsol geometry)
# formation energy	37	meV/atom
# M_tot	8.30	μB per formula unit
# density	12.9	g cm⁻³
data_Co4Ir
_chemical_formula_sum 'Co8 Ir2'
_cell_length_a 5.590
_cell_length_b 5.590
_cell_length_c 3.524
_cell_angle_alpha 90.00
_cell_angle_beta 90.00
_cell_angle_gamma 90.00
_symmetry_space_group_name_H-M 'I 4/m'
_symmetry_Int_Tables_number 87
_symmetry_space_group_name_Hall '-I 4'
loop_
_atom_site_label
_atom_site_type_symbol
_atom_site_fract_x
_atom_site_fract_y
_atom_site_fract_z
Co1 Co 0.099 0.304 0.000
Ir1 Ir 0.000 0.000 0.500

---

# NaLaNF2 (meta-GGA SCAN, PBEsol geometry)
# energy relative to the elements, uncorrected	-11.070	eV/f.u.
# M_tot	0.16	μB per formula unit
# density	3.7	g cm⁻³
data_NaLaNF2
_chemical_formula_sum 'Na1 La1 N1 F2'
_cell_length_a 4.709
_cell_length_b 4.709
_cell_length_c 4.330
_cell_angle_alpha 90.00
_cell_angle_beta 90.00
_cell_angle_gamma 90.00
_symmetry_space_group_name_H-M 'P 4/m m m'
_symmetry_Int_Tables_number 123
_symmetry_space_group_name_Hall '-P 4 2'
loop_
_atom_site_label
_atom_site_type_symbol
_atom_site_fract_x
_atom_site_fract_y
_atom_site_fract_z
Na1 Na 0.000 0.000 0.000
La1 La 0.500 0.500 0.500
N1 N 0.500 0.500 0.000
F1 F 0.000 0.500 0.500

---

# SrTeW2 (meta-GGA SCAN, PBEsol geometry)
# energy relative to the elements, uncorrected	4.765	eV/f.u.
# M_tot	0.00	μB per formula unit
# density	11.4	g cm⁻³
data_SrTeW2
_chemical_formula_sum 'Sr2 Te2 W4'
_cell_length_a 4.038
_cell_length_b 4.038
_cell_length_c 10.391
_cell_angle_alpha 90.00
_cell_angle_beta 90.00
_cell_angle_gamma 90.00
_symmetry_space_group_name_H-M 'I 4/m m m'
_symmetry_Int_Tables_number 139
_symmetry_space_group_name_Hall '-I 4 2'
loop_
_atom_site_label
_atom_site_type_symbol
_atom_site_fract_x
_atom_site_fract_y
_atom_site_fract_z
Sr1 Sr 0.000 0.000 0.000
Te1 Te 0.000 0.000 0.500
W1 W 0.000 0.500 0.250

---

# CoNiBiRu2 (meta-GGA SCAN, PBEsol geometry)
# formation energy	1104	meV/atom
# M_tot	5.08	μB per formula unit
# density	10.4	g cm⁻³
data_CoNiBiRu2
_chemical_formula_sum 'Co1 Ni1 Bi1 Ru2'
_cell_length_a 4.471
_cell_length_b 4.471
_cell_length_c 4.225
_cell_angle_alpha 90.00
_cell_angle_beta 90.00
_cell_angle_gamma 90.00
_symmetry_space_group_name_H-M 'P 4/m m m'
_symmetry_Int_Tables_number 123
_symmetry_space_group_name_Hall '-P 4 2'
loop_
_atom_site_label
_atom_site_type_symbol
_atom_site_fract_x
_atom_site_fract_y
_atom_site_fract_z
Co1 Co 0.000 0.000 0.000
Ni1 Ni 0.000 0.000 0.500
Bi1 Bi 0.500 0.500 0.000
Ru1 Ru 0.000 0.500 0.500

---

# SnP2I (meta-GGA SCAN, PBEsol geometry)
# energy relative to the elements, uncorrected	3.769	eV/f.u.
# M_tot	0.00	μB per formula unit
# density	6.2	g cm⁻³
data_SnP2I
_chemical_formula_sum 'Sn4 P8 I4'
_cell_length_a 6.912
_cell_length_b 6.912
_cell_length_c 6.912
_cell_angle_alpha 90.00
_cell_angle_beta 90.00
_cell_angle_gamma 90.00
_symmetry_space_group_name_H-M 'F m -3 m'
_symmetry_Int_Tables_number 225
_symmetry_space_group_name_Hall '-F 4 2 3'
loop_
_atom_site_label
_atom_site_type_symbol
_atom_site_fract_x
_atom_site_fract_y
_atom_site_fract_z
Sn1 Sn 0.000 0.000 0.000
P1 P 0.250 0.250 0.250
I1 I 0.000 0.000 0.500

---

# LiPPb (meta-GGA SCAN, PBEsol geometry)
# formation energy	-54	meV/atom
# M_tot	0.00	μB per formula unit
# density	6.6	g cm⁻³
data_LiPPb
_chemical_formula_sum 'Li2 P2 Pb2'
_cell_length_a 3.840
_cell_length_b 3.840
_cell_length_c 8.346
_cell_angle_alpha 90.00
_cell_angle_beta 90.00
_cell_angle_gamma 90.00
_symmetry_space_group_name_H-M 'I 4 m m'
_symmetry_Int_Tables_number 107
_symmetry_space_group_name_Hall 'I 4 -2'
loop_
_atom_site_label
_atom_site_type_symbol
_atom_site_fract_x
_atom_site_fract_y
_atom_site_fract_z
Li1 Li 0.000 0.000 0.000
P1 P 0.000 0.000 0.675
Pb1 Pb 0.000 0.000 0.326

---

# Sc2AlRu (meta-GGA SCAN, PBEsol geometry)
# formation energy	-666	meV/atom
# M_tot	0.00	μB per formula unit
# density	5.2	g cm⁻³
data_Sc2AlRu
_chemical_formula_sum 'Sc2 Al1 Ru1'
_cell_length_a 3.263
_cell_length_b 3.263
_cell_length_c 6.548
_cell_angle_alpha 90.00
_cell_angle_beta 90.00
_cell_angle_gamma 90.00
_symmetry_space_group_name_H-M 'P 4/m m m'
_symmetry_Int_Tables_number 123
_symmetry_space_group_name_Hall '-P 4 2'
loop_
_atom_site_label
_atom_site_type_symbol
_atom_site_fract_x
_atom_site_fract_y
_atom_site_fract_z
Sc1 Sc 0.000 0.000 0.227
Al1 Al 0.500 0.500 0.500
Ru1 Ru 0.500 0.500 0.000